# KHfGa, optimized geometry, DFT PBE
data_KHfGa
_chemical_formula_sum 'K4 Hf4 Ga4'
_cell_length_a 7.047
_cell_length_b 7.047
_cell_length_c 7.047
_cell_angle_alpha 90.00
_cell_angle_beta 90.00
_cell_angle_gamma 90.00
_symmetry_space_group_name_H-M 'F -4 3 m'
_symmetry_Int_Tables_number 216
_symmetry_space_group_name_Hall 'F -4 2 3'
loop_
_atom_site_label
_atom_site_fract_x
_atom_site_fract_y
_atom_site_fract_z
K1 0.000 0.000 0.000
Hf1 0.000 0.000 0.500
Ga1 0.250 0.250 0.250
# DOS(E_F) = 0.18 states/eV per atom
# energy above the most stable polymorph in this dataset = 0.981 eV/atom
# energy = -0.13930 Ha/atom
# size of the total moment = 0.0 μB per cell

---

# Na2La2Hg, optimized geometry, DFT PBE
data_Na2La2Hg
_chemical_formula_sum 'Na4 La4 Hg2'
_cell_length_a 4.151
_cell_length_b 4.151
_cell_length_c 19.959
_cell_angle_alpha 90.00
_cell_angle_beta 90.00
_cell_angle_gamma 90.00
_symmetry_space_group_name_H-M 'I 4/m m m'
_symmetry_Int_Tables_number 139
_symmetry_space_group_name_Hall '-I 4 2'
loop_
_atom_site_label
_atom_site_fract_x
_atom_site_fract_y
_atom_site_fract_z
Na1 0.000 0.500 0.250
La1 0.000 0.000 0.081
Hg1 0.000 0.000 0.500
# DOS(E_F) = 0.96 states/eV per atom
# energy above the most stable polymorph in this dataset = 0.000 eV/atom
# energy = -0.09251 Ha/atom
# size of the total moment = 0.0 μB per cell

---

# BaMnPd3, optimized geometry, DFT PBE
data_BaMnPd3
_chemical_formula_sum 'Ba1 Mn1 Pd3'
_cell_length_a 4.781
_cell_length_b 4.781
_cell_length_c 4.781
_cell_angle_alpha 90.00
_cell_angle_beta 90.00
_cell_angle_gamma 90.00
_symmetry_space_group_name_H-M 'P m -3 m'
_symmetry_Int_Tables_number 221
_symmetry_space_group_name_Hall '-P 4 2 3'
loop_
_atom_site_label
_atom_site_fract_x
_atom_site_fract_y
_atom_site_fract_z
Ba1 0.000 0.000 0.000
Mn1 0.500 0.500 0.500
Pd1 0.000 0.500 0.500
# DOS(E_F) = 1.66 states/eV per atom
# energy above the most stable polymorph in this dataset = 0.000 eV/atom
# energy = -0.18667 Ha/atom
# size of the total moment = 0.0 μB per cell

---

# Dy2Hf2Ni15, optimized geometry, DFT PBE
data_Dy2Hf2Ni15
_chemical_formula_sum 'Dy6 Hf6 Ni45'
_cell_length_a 8.4152
_cell_length_b 8.4152
_cell_length_c 12.5642
_cell_angle_alpha 90.00
_cell_angle_beta 90.00
_cell_angle_gamma 120.00
_symmetry_space_group_name_H-M 'R -3 m'
_symmetry_Int_Tables_number 166
_symmetry_space_group_name_Hall '-R 3 2"'
loop_
_atom_site_label
_atom_site_fract_x
_atom_site_fract_y
_atom_site_fract_z
Dy1 0.0000 0.0000 0.1434
Hf1 0.0000 0.0000 0.3912
Ni1 0.0000 0.2997 0.5000
Ni2 0.0000 0.5000 0.0000
Ni3 0.0038 0.5019 0.6551
# DOS(E_F) = 1.53 states/eV per atom
# energy = -0.23539 Ha/atom
# size of the total moment = 0.6 μB per cell

---

# PmBePd, optimized geometry, DFT PBE
data_PmBePd
_chemical_formula_sum 'Pm8 Be8 Pd8'
_cell_length_a 6.910
_cell_length_b 10.648
_cell_length_c 6.074
_cell_angle_alpha 90.00
_cell_angle_beta 90.00
_cell_angle_gamma 90.00
_symmetry_space_group_name_H-M 'F m m 2'
_symmetry_Int_Tables_number 42
_symmetry_space_group_name_Hall 'F 2 -2'
loop_
_atom_site_label
_atom_site_fract_x
_atom_site_fract_y
_atom_site_fract_z
Pm1 0.000 0.235 0.000
Be1 0.000 0.000 0.176
Be2 0.000 0.000 0.533
Pd1 0.206 0.000 0.831
# DOS(E_F) = 0.84 states/eV per atom
# energy above the most stable polymorph in this dataset = 0.265 eV/atom
# energy = -0.17550 Ha/atom
# size of the total moment = 0.0 μB per cell

---

# Dy2Ga2Ag, optimized geometry, DFT PBE
data_Dy2Ga2Ag
_chemical_formula_sum 'Dy8 Ga8 Ag4'
_cell_length_a 10.791
_cell_length_b 4.444
_cell_length_c 10.534
_cell_angle_alpha 90.00
_cell_angle_beta 117.63
_cell_angle_gamma 90.00
_symmetry_space_group_name_H-M 'C 1 2/m 1'
_symmetry_Int_Tables_number 12
loop_
_symmetry_equiv_pos_as_xyz
'x,y,z'
'-x,-y,-z'
'-x,y,-z'
'x,-y,z'
'x+1/2,y+1/2,z'
'-x+1/2,-y+1/2,-z'
'-x+1/2,y+1/2,-z'
'x+1/2,-y+1/2,z'
loop_
_atom_site_label
_atom_site_fract_x
_atom_site_fract_y
_atom_site_fract_z
Dy1 0.010 0.000 0.327
Dy2 0.182 0.000 0.104
Ga1 0.029 0.500 0.890
Ga2 0.133 0.500 0.568
Ag1 0.223 0.500 0.350
# DOS(E_F) = 0.56 states/eV per atom
# energy = -0.15286 Ha/atom
# size of the total moment = 0.0 μB per cell

---

# Pr3Dy3Y8, optimized geometry, DFT PBE
data_Pr3Dy3Y8
_chemical_formula_sum 'Pr6 Dy6 Y16'
_cell_length_a 5.714
_cell_length_b 10.832
_cell_length_c 15.198
_cell_angle_alpha 90.00
_cell_angle_beta 90.00
_cell_angle_gamma 90.00
_symmetry_space_group_name_H-M 'I m m m'
_symmetry_Int_Tables_number 71
_symmetry_space_group_name_Hall '-I 2 2'
loop_
_atom_site_label
_atom_site_fract_x
_atom_site_fract_y
_atom_site_fract_z
Pr1 0.000 0.000 0.000
Pr2 0.000 0.500 0.317
Dy1 0.000 0.000 0.500
Dy2 0.000 0.297 0.500
Y1 0.000 0.161 0.280
Y2 0.000 0.341 0.102
# DOS(E_F) = 1.71 states/eV per atom
# energy above the most stable polymorph in this dataset = 0.000 eV/atom
# energy = -0.20558 Ha/atom
# size of the total moment = 0.0 μB per cell

---

# BaLa2Ag, optimized geometry, DFT PBE
data_BaLa2Ag
_chemical_formula_sum 'Ba2 La4 Ag2'
_cell_length_a 4.894
_cell_length_b 4.894
_cell_length_c 11.717
_cell_angle_alpha 90.00
_cell_angle_beta 90.00
_cell_angle_gamma 90.00
_symmetry_space_group_name_H-M 'I 4/m m m'
_symmetry_Int_Tables_number 139
_symmetry_space_group_name_Hall '-I 4 2'
loop_
_atom_site_label
_atom_site_fract_x
_atom_site_fract_y
_atom_site_fract_z
Ba1 0.000 0.000 0.000
La1 0.000 0.500 0.250
Ag1 0.000 0.000 0.500
# DOS(E_F) = 1.54 states/eV per atom
# energy above the most stable polymorph in this dataset = 0.202 eV/atom
# energy = -0.12945 Ha/atom
# size of the total moment = 0.0 μB per cell

---

# Ce3PaPt4, optimized geometry, DFT PBE
data_Ce3PaPt4
_chemical_formula_sum 'Ce6 Pa2 Pt8'
_cell_length_a 7.220
_cell_length_b 8.300
_cell_length_c 7.061
_cell_angle_alpha 90.00
_cell_angle_beta 109.56
_cell_angle_gamma 90.00
_symmetry_space_group_name_H-M 'P 1 2/c 1'
_symmetry_Int_Tables_number 13
loop_
_symmetry_equiv_pos_as_xyz
'x,y,z'
'-x,-y,-z'
'-x,y,-z+1/2'
'x,-y,z+1/2'
loop_
_atom_site_label
_atom_site_fract_x
_atom_site_fract_y
_atom_site_fract_z
Ce1 0.000 0.125 0.250
Ce2 0.000 0.375 0.750
Ce3 0.500 0.126 0.750
Pa1 0.500 0.376 0.250
Pt1 0.255 0.131 0.007
Pt2 0.261 0.381 0.499
# DOS(E_F) = 2.66 states/eV per atom
# energy = -0.27309 Ha/atom
# size of the total moment = 5.1 μB per cell

---

# Ti2GeAu, optimized geometry, DFT PBE
data_Ti2GeAu
_chemical_formula_sum 'Ti2 Ge1 Au1'
_cell_length_a 4.051
_cell_length_b 4.051
_cell_length_c 3.994
_cell_angle_alpha 90.00
_cell_angle_beta 90.00
_cell_angle_gamma 90.00
_symmetry_space_group_name_H-M 'P 4/m m m'
_symmetry_Int_Tables_number 123
_symmetry_space_group_name_Hall '-P 4 2'
loop_
_atom_site_label
_atom_site_fract_x
_atom_site_fract_y
_atom_site_fract_z
Ti1 0.000 0.500 0.000
Ge1 0.000 0.000 0.500
Au1 0.500 0.500 0.500
# DOS(E_F) = 1.19 states/eV per atom
# energy = -0.23351 Ha/atom
# size of the total moment = 0.0 μB per cell

---

# Li12Hg6Pd, optimized geometry, DFT PBE
data_Li12Hg6Pd
_chemical_formula_sum 'Li36 Hg18 Pd3'
_cell_length_a 10.0708
_cell_length_b 10.0708
_cell_length_c 12.0191
_cell_angle_alpha 90.00
_cell_angle_beta 90.00
_cell_angle_gamma 120.00
_symmetry_space_group_name_H-M 'R -3'
_symmetry_Int_Tables_number 148
_symmetry_space_group_name_Hall '-R 3'
loop_
_atom_site_label
_atom_site_fract_x
_atom_site_fract_y
_atom_site_fract_z
Li1 0.0359 0.8504 0.3228
Li2 0.0592 0.2125 0.9098
Hg1 0.0156 0.5907 0.2121
Pd1 0.0000 0.0000 0.5000
# DOS(E_F) = 0.36 states/eV per atom
# energy = -0.06893 Ha/atom
# size of the total moment = 0.0 μB per cell